[1]
Compound: YZr2Sc7
Source: Alexandria via LeMat-Bulk
Functional: PBE-GGA
Structure: optimized geometry

POSCAR file:
```
YZr2Sc7
1.0
4.855 0.355 0.709
0.000 6.309 -3.166
1.222 0.338 8.534
Sc Zr Y
7 2 1
Direct
0.839 0.661 0.322
0.363 0.933 0.273
0.363 0.341 0.274
0.161 0.339 0.678
0.637 0.067 0.727
0.637 0.659 0.726
0.500 0.500 0.000
0.786 0.214 0.428
0.214 0.786 0.572
0.000 0.000 0.000
```

Output
Uncorrected energy, eV/cell: -65.915
Theoretical density, g cm⁻³: 3.75
Energy of formation from the pure elements, eV/atom: 0.197
SG: No. 71

[2]
Compound: Y2ZrSc
Source: Alexandria via LeMat-Bulk
Functional: PBE-GGA
Structure: optimized geometry

POSCAR file:
```
Y2ZrSc
1.0
-2.918 -2.371 0.513
2.276 -2.954 -0.702
1.742 -0.483 7.683
Y Sc Zr
2 1 1
Direct
0.000 0.000 0.964
0.500 0.500 0.284
0.500 0.500 0.717
0.000 0.000 0.535
```

Output
Uncorrected energy, eV/cell: -27.341
Relative energy among the computed polymorphs, kJ/mol of formula units: 27
Theoretical density, g cm⁻³: 4.59
Energy of formation from the pure elements, eV/atom: 0.117
SG: No. 99